! CaMoP2H, optimized geometry, DFT PBE-GGA; values from VASP
! - Uncorrected energy: -3.307 eV/atom
&SYSTEM
  ibrav = 0, nat = 5, ntyp = 4
/
ATOMIC_SPECIES
P 30.97 P.upf
Mo 95.94 Mo.upf
H 1.01 H.upf
Ca 40.08 Ca.upf
CELL_PARAMETERS angstrom
5.2459 0.0000 0.0000
0.0000 5.6527 0.0000
0.0000 0.0000 5.2459
ATOMIC_POSITIONS crystal
P 0.5000 0.0000 0.0000
P 0.0000 0.0000 0.5000
Mo 0.0000 0.5000 0.0000
H 0.5000 0.5000 0.5000
Ca 0.0000 0.0000 0.0000

***

! CaReMo2H, optimized geometry, DFT PBE-GGA; values from VASP
! - Uncorrected energy: -6.172 eV/atom
&SYSTEM
  ibrav = 0, nat = 5, ntyp = 4
/
ATOMIC_SPECIES
Ca 40.08 Ca.upf
Mo 95.94 Mo.upf
H 1.01 H.upf
Re 186.21 Re.upf
CELL_PARAMETERS angstrom
-4.5844 0.1194 1.1924
0.3656 -4.3506 1.8415
1.4367 2.3587 5.2872
ATOMIC_POSITIONS crystal
Ca 0.0000 0.0000 0.5000
Mo 0.0000 0.5000 0.0000
Mo 0.5000 0.0000 0.0000
H 0.5000 0.5000 0.5000
Re 0.0000 0.0000 0.0000

***

! Ca2ScMoH, optimized geometry, DFT PBE-GGA; values from VASP
! - ΔE to the lowest computed polymorph: 0.0 meV/atom
! - Uncorrected energy: -4.519 eV/atom
&SYSTEM
  ibrav = 0, nat = 5, ntyp = 4
/
ATOMIC_SPECIES
H 1.01 H.upf
Ca 40.08 Ca.upf
Sc 44.96 Sc.upf
Mo 95.94 Mo.upf
CELL_PARAMETERS angstrom
4.6457 0.0000 0.0000
0.0000 4.6141 0.0000
0.0000 0.0000 4.6457
ATOMIC_POSITIONS crystal
H 0.0000 0.0000 0.0000
Ca 0.5000 0.0000 0.0000
Sc 0.5000 0.5000 0.5000
Mo 0.0000 0.5000 0.0000
Ca 0.0000 0.0000 0.5000

***

! Ca2ScMoH, optimized geometry, DFT PBE-GGA; values from VASP
! - ΔE to the lowest computed polymorph: 995.4 meV/atom
! - Uncorrected energy: -3.523 eV/atom
&SYSTEM
  ibrav = 0, nat = 5, ntyp = 4
/
ATOMIC_SPECIES
H 1.01 H.upf
Ca 40.08 Ca.upf
Mo 95.94 Mo.upf
Sc 44.96 Sc.upf
CELL_PARAMETERS angstrom
-4.6927 2.5300 2.9944
-1.5088 -4.1359 1.1301
3.3537 0.1728 5.1099
ATOMIC_POSITIONS crystal
H 0.5000 0.5000 0.5000
Ca 0.5000 0.0000 0.0000
Mo 0.0000 0.5000 0.0000
Sc 0.0000 0.0000 0.0000
Ca 0.0000 0.0000 0.5000

***

! Sr2CaMoH, optimized geometry, DFT PBE-GGA; values from VASP
! - Uncorrected energy: -3.163 eV/atom
&SYSTEM
  ibrav = 0, nat = 5, ntyp = 4
/
ATOMIC_SPECIES
Sr 87.62 Sr.upf
H 1.01 H.upf
Mo 95.94 Mo.upf
Ca 40.08 Ca.upf
CELL_PARAMETERS angstrom
-4.5532 -4.5415 0.6663
2.0592 -2.3729 -2.1022
2.9438 -2.1691 5.3320
ATOMIC_POSITIONS crystal
Sr 0.5000 0.0000 0.0000
Sr 0.0000 0.0000 0.5000
H 0.0000 0.5000 0.0000
Mo 0.0000 0.0000 0.0000
Ca 0.5000 0.5000 0.5000

***

! Ca2TeMoH, optimized geometry, DFT PBE-GGA; values from VASP
! - Uncorrected energy: -4.372 eV/atom
&SYSTEM
  ibrav = 0, nat = 5, ntyp = 4
/
ATOMIC_SPECIES
Ca 40.08 Ca.upf
Te 127.60 Te.upf
H 1.01 H.upf
Mo 95.94 Mo.upf
CELL_PARAMETERS angstrom
-1.8770 -0.7136 -4.5859
-3.1013 -1.9143 1.5673
-2.4948 4.3264 0.3479
ATOMIC_POSITIONS crystal
Ca 0.0000 0.0000 0.5000
Ca 0.5000 0.0000 0.0000
Te 0.5000 0.5000 0.5000
H 0.0000 0.0000 0.0000
Mo 0.0000 0.5000 0.0000

***

! CaYMoH2, optimized geometry, DFT PBE-GGA; values from VASP
! - Uncorrected energy: -4.279 eV/atom
&SYSTEM
  ibrav = 0, nat = 5, ntyp = 4
/
ATOMIC_SPECIES
Mo 95.94 Mo.upf
H 1.01 H.upf
Ca 40.08 Ca.upf
Y 88.91 Y.upf
CELL_PARAMETERS angstrom
-4.0491 -0.2671 -0.6942
0.0097 -7.5441 2.8457
-0.7438 1.4282 3.7888
ATOMIC_POSITIONS crystal
Mo 0.5000 0.5000 0.5000
H 0.5000 0.0000 0.0000
Ca 0.0000 0.0000 0.0000
H 0.0000 0.0000 0.5000
Y 0.0000 0.5000 0.0000

***

! CaHN3, optimized geometry, DFT PBE-GGA; values from VASP
! - Uncorrected energy: -3.471 eV/atom
&SYSTEM
  ibrav = 0, nat = 5, ntyp = 3
/
ATOMIC_SPECIES
N 14.01 N.upf
Ca 40.08 Ca.upf
H 1.01 H.upf
CELL_PARAMETERS angstrom
-1.6962 2.5612 -3.5664
-3.9948 0.6866 2.3930
1.8223 3.8891 1.9262
ATOMIC_POSITIONS crystal
N 0.5000 0.0000 0.0000
Ca 0.0000 0.0000 0.0000
H 0.5000 0.5000 0.5000
N 0.0000 0.0000 0.5000
N 0.0000 0.5000 0.0000

***

! Ca3H2N, optimized geometry, DFT PBE-GGA; values from VASP
! - Uncorrected energy: -4.091 eV/atom
&SYSTEM
  ibrav = 0, nat = 12, ntyp = 3
/
ATOMIC_SPECIES
Ca 40.08 Ca.upf
H 1.01 H.upf
N 14.01 N.upf
CELL_PARAMETERS angstrom
6.2357 0.0000 0.0011
3.1179 5.3541 0.0006
2.1965 0.0000 5.8491
ATOMIC_POSITIONS crystal
Ca 0.2731 0.0000 0.2430
Ca 0.9215 0.6486 0.2280
Ca 0.0785 0.3514 0.7720
Ca 0.7269 0.0000 0.7570
H 0.1672 0.6656 0.5000
Ca 0.5700 0.3514 0.2280
N 0.3338 0.3324 0.0000
N 0.6662 0.6676 0.0000
H 0.8328 0.3344 0.5000
H 0.5000 0.0000 0.5000
Ca 0.4300 0.6486 0.7720
H 0.0000 0.0000 0.0000

***

! Ca3HN2, optimized geometry, DFT PBE-GGA; values from VASP
! - Uncorrected energy: -4.986 eV/atom
&SYSTEM
  ibrav = 0, nat = 12, ntyp = 3
/
ATOMIC_SPECIES
H 1.01 H.upf
Ca 40.08 Ca.upf
N 14.01 N.upf
CELL_PARAMETERS angstrom
4.9575 0.0000 0.0000
-2.4787 5.3677 -1.7586
0.0000 -0.0110 7.0709
ATOMIC_POSITIONS crystal
H 0.0001 0.0000 0.2500
H 0.9999 0.0000 0.7500
Ca 0.4999 0.0000 0.2500
Ca 0.8196 0.6392 0.4098
Ca 0.1804 0.3608 0.0902
N 0.3383 0.6766 0.4191
Ca 0.8196 0.6392 0.9098
Ca 0.1804 0.3608 0.5902
N 0.6617 0.3234 0.5809
N 0.3384 0.6766 0.9191
N 0.6616 0.3234 0.0809
Ca 0.5001 0.0000 0.7500

***

! CaHN, optimized geometry, DFT PBE-GGA; values from VASP
! - ΔE to the lowest computed polymorph: 482.8 meV/atom
! - Uncorrected energy: -4.876 eV/atom
&SYSTEM
  ibrav = 0, nat = 6, ntyp = 3
/
ATOMIC_SPECIES
N 14.01 N.upf
Ca 40.08 Ca.upf
H 1.01 H.upf
CELL_PARAMETERS angstrom
2.7693 0.0000 0.0000
0.0000 4.4287 0.0000
-1.3847 0.0000 4.7590
ATOMIC_POSITIONS crystal
N 0.1241 0.2500 0.2482
Ca 0.3824 0.2500 0.7648
N 0.8759 0.7500 0.7518
Ca 0.6176 0.7500 0.2352
H 0.6376 0.2500 0.2751
H 0.3624 0.7500 0.7249

***

! CaH2N, optimized geometry, DFT PBE-GGA; values from VASP
! - ΔE to the lowest computed polymorph: 0.0 meV/atom
! - Uncorrected energy: -4.721 eV/atom
&SYSTEM
  ibrav = 0, nat = 8, ntyp = 3
/
ATOMIC_SPECIES
H 1.01 H.upf
Ca 40.08 Ca.upf
N 14.01 N.upf
CELL_PARAMETERS angstrom
3.6836 -0.4702 0.0000
0.6716 4.9976 0.0000
1.8418 -0.2351 5.6266
ATOMIC_POSITIONS crystal
H 0.0765 0.7473 0.2688
H 0.6547 0.7527 0.2688
Ca 0.1543 0.7500 0.6914
N 0.8033 0.7500 0.3934
Ca 0.8457 0.2500 0.3086
N 0.1967 0.2500 0.6066
H 0.3453 0.2473 0.7312
H 0.9235 0.2527 0.7312

***

Going through the records in order, we get M_tot values of 5.06, 3.22, 0.00, 1.25, 2.55, 0.78, 2.91, 7.25, 2.01, 2.04, 0.00, 0.00 μB/cell.